# 1
Here is a relaxed LiZr2Ir crystal from Alexandria via LeMat-Bulk. Energies are from PBE.

- VASP energy: -7.021 eV per atom
- DOS at the Fermi energy: 1.7 states/eV/f.u.
- Crystal system: trigonal
- Total magnetic moment: 0.00 Bohr magnetons per cell

Structure (CIF):
```
data_LiZr2Ir
_chemical_formula_sum 'Li3 Zr6 Ir3'
_cell_length_a 3.4889
_cell_length_b 3.4889
_cell_length_c 25.4013
_cell_angle_alpha 90.00
_cell_angle_beta 90.00
_cell_angle_gamma 120.00
_space_group_name_H-M_alt 'R -3 m'
_space_group_IT_number 166
_space_group_name_Hall '-R 3 2"'
loop_
_atom_site_label
_atom_site_fract_x
_atom_site_fract_y
_atom_site_fract_z
_atom_site_occupancy
Li1 0.0000 0.0000 0.0000 1
Zr1 0.0000 0.0000 0.2352 1
Ir1 0.0000 0.0000 0.5000 1
```

=====

# 2
Here is a relaxed CeY3Ho2Se6 crystal from Alexandria via LeMat-Bulk. Energies are from PBE.

- ΔE_f (raw): -1.76 eV per atom
- DOS at the Fermi energy: 10.9 states/eV/f.u.
- Crystal system: monoclinic
- Total magnetic moment: 2.25 Bohr magnetons per cell

Structure (CIF):
```
data_CeY3Ho2Se6
_chemical_formula_sum 'Ce2 Y6 Ho4 Se12'
_cell_length_a 17.851
_cell_length_b 4.078
_cell_length_c 8.237
_cell_angle_alpha 90.00
_cell_angle_beta 103.23
_cell_angle_gamma 90.00
_space_group_name_H-M_alt 'C 1 2/m 1'
_space_group_IT_number 12
_space_group_name_Hall '-C 2y'
loop_
_atom_site_label
_atom_site_fract_x
_atom_site_fract_y
_atom_site_fract_z
_atom_site_occupancy
Ce1 0.000 0.000 0.000 1
Y1 0.000 0.000 0.500 1
Y2 0.164 0.500 0.834 1
Ho1 0.164 0.500 0.329 1
Se1 0.001 0.500 0.258 1
Se2 0.169 0.000 0.581 1
Se3 0.171 0.000 0.087 1
```

=====

# 3
Here is a relaxed TiZnNi3 crystal from Alexandria via LeMat-Bulk. Energies are from PBE.

- VASP energy: -4.442 eV per atom
- DOS at the Fermi energy: 2.9 states/eV/f.u.
- Crystal system: cubic
- Total magnetic moment: 0.00 Bohr magnetons per cell

Structure (CIF):
```
data_TiZnNi3
_chemical_formula_sum 'Ti1 Zn1 Ni3'
_cell_length_a 4.328
_cell_length_b 4.328
_cell_length_c 4.328
_cell_angle_alpha 90.00
_cell_angle_beta 90.00
_cell_angle_gamma 90.00
_space_group_name_H-M_alt 'P m -3 m'
_space_group_IT_number 221
_space_group_name_Hall '-P 4 2 3'
loop_
_atom_site_label
_atom_site_fract_x
_atom_site_fract_y
_atom_site_fract_z
_atom_site_occupancy
Ti1 0.000 0.000 0.000 1
Zn1 0.500 0.500 0.500 1
Ni1 0.000 0.000 0.500 1
```

=====

# 4
Here is a relaxed HfGaFe crystal from Alexandria via LeMat-Bulk. Energies are from PBE.

- VASP energy: -7.548 eV per atom
- DOS at the Fermi energy: 2.2 states/eV/f.u.
- Crystal system: orthorhombic
- Total magnetic moment: 10.68 Bohr magnetons per cell

Structure (CIF):
```
data_HfGaFe
_chemical_formula_sum 'Hf8 Ga8 Fe8'
_cell_length_a 8.299
_cell_length_b 5.097
_cell_length_c 8.730
_cell_angle_alpha 90.00
_cell_angle_beta 90.00
_cell_angle_gamma 90.00
_space_group_name_H-M_alt 'A m m 2'
_space_group_IT_number 38
_space_group_name_Hall 'A 2 -2'
loop_
_atom_site_label
_atom_site_fract_x
_atom_site_fract_y
_atom_site_fract_z
_atom_site_occupancy
Hf1 0.176 0.000 0.000 1
Hf2 0.303 0.000 0.336 1
Ga1 0.239 0.000 0.677 1
Ga2 0.500 0.242 0.081 1
Fe1 0.000 0.000 0.502 1
Fe2 0.000 0.236 0.261 1
Fe3 0.500 0.000 0.836 1
```

=====

# 5
Here is a relaxed NaGa11Co crystal from Alexandria via LeMat-Bulk. Energies are from PBE.

- VASP energy: -3.236 eV per atom
- DOS at the Fermi energy: 7.0 states/eV/f.u.
- Crystal system: monoclinic
- Total magnetic moment: 0.00 Bohr magnetons per cell

Structure (CIF):
```
data_NaGa11Co
_chemical_formula_sum 'Na2 Ga22 Co2'
_cell_length_a 5.354
_cell_length_b 12.270
_cell_length_c 7.565
_cell_angle_alpha 90.00
_cell_angle_beta 104.60
_cell_angle_gamma 90.00
_space_group_name_H-M_alt 'C 1 2/m 1'
_space_group_IT_number 12
_space_group_name_Hall '-C 2y'
loop_
_atom_site_label
_atom_site_fract_x
_atom_site_fract_y
_atom_site_fract_z
_atom_site_occupancy
Na1 0.000 0.000 0.000 1
Ga1 0.000 0.000 0.500 1
Ga2 0.126 0.391 0.238 1
Ga3 0.218 0.170 0.370 1
Ga4 0.250 0.250 0.000 1
Co1 0.000 0.500 0.500 1
```

=====

# 6
Here is a relaxed LiBeSe2 crystal from Alexandria via LeMat-Bulk. Energies are from PBE.

- ΔE_f (raw): -0.40 eV per atom
- DOS at the Fermi energy: 1.7 states/eV/f.u.
- Crystal system: trigonal
- Total magnetic moment: 0.00 Bohr magnetons per cell

Structure (CIF):
```
data_LiBeSe2
_chemical_formula_sum 'Li3 Be3 Se6'
_cell_length_a 3.4441
_cell_length_b 3.4441
_cell_length_c 22.6268
_cell_angle_alpha 90.00
_cell_angle_beta 90.00
_cell_angle_gamma 120.00
_space_group_name_H-M_alt 'R -3 m'
_space_group_IT_number 166
_space_group_name_Hall '-R 3 2"'
loop_
_atom_site_label
_atom_site_fract_x
_atom_site_fract_y
_atom_site_fract_z
_atom_site_occupancy
Li1 0.0000 0.0000 0.0000 1
Be1 0.0000 0.0000 0.5000 1
Se1 0.0000 0.0000 0.1056 1
```

=====

# 7
Here is a relaxed Zn2SeBr crystal from Alexandria via LeMat-Bulk. Energies are from PBE.

- ΔE_f (raw): -0.07 eV per atom
- DOS at the Fermi energy: 2.8 states/eV/f.u.
- Crystal system: orthorhombic
- Total magnetic moment: 0.00 Bohr magnetons per cell

Structure (CIF):
```
data_Zn2SeBr
_chemical_formula_sum 'Zn4 Se2 Br2'
_cell_length_a 4.043
_cell_length_b 7.395
_cell_length_c 7.410
_cell_angle_alpha 90.00
_cell_angle_beta 90.00
_cell_angle_gamma 90.00
_space_group_name_H-M_alt 'C m m 2'
_space_group_IT_number 35
_space_group_name_Hall 'C 2 -2'
loop_
_atom_site_label
_atom_site_fract_x
_atom_site_fract_y
_atom_site_fract_z
_atom_site_occupancy
Zn1 0.000 0.000 0.000 1
Zn2 0.000 0.500 0.238 1
Se1 0.000 0.000 0.400 1
Br1 0.000 0.500 0.784 1
```

=====

# 8
Here is a relaxed TcBiPt2Au crystal from Alexandria via LeMat-Bulk. Energies are from PBE.

- VASP energy: -4.422 eV per atom
- DOS at the Fermi energy: 3.3 states/eV/f.u.
- Crystal system: tetragonal
- Total magnetic moment: 4.58 Bohr magnetons per cell

Structure (CIF):
```
data_TcBiPt2Au
_chemical_formula_sum 'Tc1 Bi1 Pt2 Au1'
_cell_length_a 5.077
_cell_length_b 5.077
_cell_length_c 5.212
_cell_angle_alpha 90.00
_cell_angle_beta 90.00
_cell_angle_gamma 90.00
_space_group_name_H-M_alt 'P 4/m m m'
_space_group_IT_number 123
_space_group_name_Hall '-P 4 2'
loop_
_atom_site_label
_atom_site_fract_x
_atom_site_fract_y
_atom_site_fract_z
_atom_site_occupancy
Tc1 0.000 0.000 0.000 1
Bi1 0.500 0.500 0.500 1
Pt1 0.000 0.500 0.500 1
Au1 0.500 0.500 0.000 1
```

=====

# 9
Here is a relaxed BaLa2Cr crystal from Alexandria via LeMat-Bulk. Energies are from PBE.

- VASP energy: -4.902 eV per atom
- DOS at the Fermi energy: 6.3 states/eV/f.u.
- Crystal system: trigonal
- Total magnetic moment: 8.48 Bohr magnetons per cell

Structure (CIF):
```
data_BaLa2Cr
_chemical_formula_sum 'Ba3 La6 Cr3'
_cell_length_a 3.9556
_cell_length_b 3.9556
_cell_length_c 33.1946
_cell_angle_alpha 90.00
_cell_angle_beta 90.00
_cell_angle_gamma 120.00
_space_group_name_H-M_alt 'R -3 m'
_space_group_IT_number 166
_space_group_name_Hall '-R 3 2"'
loop_
_atom_site_label
_atom_site_fract_x
_atom_site_fract_y
_atom_site_fract_z
_atom_site_occupancy
Ba1 0.0000 0.0000 0.0000 1
La1 0.0000 0.0000 0.2268 1
Cr1 0.0000 0.0000 0.5000 1
```

=====

# 10
Here is a relaxed Pr4Ho5Tl crystal from Alexandria via LeMat-Bulk. Energies are from PBE.

- VASP energy: -4.354 eV per atom
- DOS at the Fermi energy: 14.3 states/eV/f.u.
- Crystal system: tetragonal
- Total magnetic moment: 0.00 Bohr magnetons per cell

Structure (CIF):
```
data_Pr4Ho5Tl
_chemical_formula_sum 'Pr8 Ho10 Tl2'
_cell_length_a 10.813
_cell_length_b 10.813
_cell_length_c 5.842
_cell_angle_alpha 90.00
_cell_angle_beta 90.00
_cell_angle_gamma 90.00
_space_group_name_H-M_alt 'I 4 m m'
_space_group_IT_number 107
_space_group_name_Hall 'I 4 -2'
loop_
_atom_site_label
_atom_site_fract_x
_atom_site_fract_y
_atom_site_fract_z
_atom_site_occupancy
Pr1 0.000 0.312 0.000 1
Ho1 0.000 0.000 0.197 1
Ho2 0.184 0.184 0.493 1
Tl1 0.000 0.000 0.715 1
```

=====

# 11
Here is a relaxed SrNi3B crystal from Alexandria via LeMat-Bulk. Energies are from PBE.

- VASP energy: -2.563 eV per atom
- DOS at the Fermi energy: 5.9 states/eV/f.u.
- Crystal system: cubic
- Total magnetic moment: 0.00 Bohr magnetons per cell

Structure (CIF):
```
data_SrNi3B
_chemical_formula_sum 'Sr1 Ni3 B1'
_cell_length_a 4.716
_cell_length_b 4.716
_cell_length_c 4.716
_cell_angle_alpha 90.00
_cell_angle_beta 90.00
_cell_angle_gamma 90.00
_space_group_name_H-M_alt 'P m -3 m'
_space_group_IT_number 221
_space_group_name_Hall '-P 4 2 3'
loop_
_atom_site_label
_atom_site_fract_x
_atom_site_fract_y
_atom_site_fract_z
_atom_site_occupancy
Sr1 0.000 0.000 0.000 1
Ni1 0.000 0.000 0.500 1
B1 0.500 0.500 0.500 1
```

=====

# 12
Here is a relaxed CaPrSm2Bi4 crystal from Alexandria via LeMat-Bulk. Energies are from PBE.

- VASP energy: -4.823 eV per atom
- DOS at the Fermi energy: 4.0 states/eV/f.u.
- Crystal system: monoclinic
- Total magnetic moment: 0.00 Bohr magnetons per cell

Structure (CIF):
```
data_CaPrSm2Bi4
_chemical_formula_sum 'Ca1 Pr1 Sm2 Bi4'
_cell_length_a 7.959
_cell_length_b 4.577
_cell_length_c 7.998
_cell_angle_alpha 90.00
_cell_angle_beta 109.27
_cell_angle_gamma 90.00
_space_group_name_H-M_alt 'P 1 2/m 1'
_space_group_IT_number 10
_space_group_name_Hall '-P 2y'
loop_
_atom_site_label
_atom_site_fract_x
_atom_site_fract_y
_atom_site_fract_z
_atom_site_occupancy
Ca1 0.000 0.000 0.000 1
Pr1 0.500 0.500 0.000 1
Sm1 0.000 0.500 0.500 1
Sm2 0.500 0.000 0.500 1
Bi1 0.248 0.000 0.745 1
Bi2 0.251 0.500 0.255 1
```

=====

Look up the total magnetic moment of the first one.
0.00 Bohr magnetons per cell

=====

Which formula does entry 8 have?
TcBiPt2Au

=====

The highest DOS at the Fermi energy belongs to which entry?
Pr4Ho5Tl